{"formula": "SmPuSi", "functional": "PBE", "state": "optimized geometry", "lattice": [[-1.182, -0.942, 3.322], [3.430, -0.749, -0.996], [2.099, 6.260, 2.521]], "species": ["Pu", "Si", "Sm"], "frac_coords": [[0.333, 0.667, 0.611], [0.667, 0.333, 0.338], [0.000, 0.000, 0.050]], "e_above_lowest_polymorph_mev_per_atom": 139, "e_form_raw_ev_per_atom": -0.05, "energy_ha_per_atom": -0.3016}